[1]
A plane-wave DFT calculation with PBE was carried out for TcSe3F after structural relaxation.

Values from the calculation:
- raw formation energy (eV/atom) = 0.1339
- energy above the most stable polymorph in this dataset (meV/atom) = 0

Unit cell a=4.826 b=4.826 c=4.826 alpha=90.00 beta=90.00 gamma=90.00
Space group Pm-3m (No. 221)
Asymmetric unit:
Tc1 0.000 0.000 0.000 [1 per cell]
Se1 0.000 0.000 0.500 [3 per cell]
F1 0.500 0.500 0.500 [1 per cell]

=====

[2]
A plane-wave DFT calculation with PBE was carried out for La2Sm5Y12 after structural relaxation.

Values from the calculation:
- formation energy (eV/f.u.) = 2.5
- energy above the most stable polymorph in this dataset (meV/atom) = 113

Unit cell a=15.685 b=9.442 c=8.723 alpha=90.00 beta=92.03 gamma=90.00
Space group C2/m (No. 12)
Asymmetric unit:
La1 0.000 0.176 0.000 [4 per cell]
Sm1 0.000 0.500 0.500 [2 per cell]
Sm2 0.204 0.000 0.018 [4 per cell]
Sm3 0.230 0.500 0.574 [4 per cell]
Y1 0.059 0.000 0.332 [4 per cell]
Y2 0.079 0.500 0.874 [4 per cell]
Y3 0.129 0.189 0.658 [8 per cell]
Y4 0.151 0.322 0.241 [8 per cell]

=====

[3]
A plane-wave DFT calculation with PBE was carried out for Li5ZnHg6 after structural relaxation.

Values from the calculation:
- formation energy (eV/f.u.) = -3.7

Unit cell a=4.729 b=6.698 c=14.118 alpha=90.00 beta=90.00 gamma=90.00
Space group Immm (No. 71)
Asymmetric unit:
Li1 0.000 0.000 0.000 [2 per cell]
Li2 0.000 0.000 0.334 [4 per cell]
Li3 0.000 0.500 0.334 [4 per cell]
Zn1 0.000 0.500 0.000 [2 per cell]
Hg1 0.000 0.248 0.170 [8 per cell]
Hg2 0.000 0.255 0.500 [4 per cell]

=====

[4]
A plane-wave DFT calculation with PBE was carried out for BeReS2N after structural relaxation.

Values from the calculation:
- raw formation energy (eV/atom) = 0.6240
- energy above the most stable polymorph in this dataset (meV/atom) = 0

Unit cell a=4.767 b=4.767 c=3.714 alpha=90.00 beta=90.00 gamma=90.00
Space group P4/mmm (No. 123)
Asymmetric unit:
Be1 0.000 0.000 0.000 [1 per cell]
Re1 0.500 0.500 0.500 [1 per cell]
S1 0.000 0.500 0.500 [2 per cell]
N1 0.500 0.500 0.000 [1 per cell]

=====

[5]
A plane-wave DFT calculation with PBE was carried out for Pm8Pr3Sc after structural relaxation.

Values from the calculation:
- formation energy (eV/f.u.) = 6.3

Unit cell a=8.803 b=8.803 c=11.553 alpha=90.00 beta=90.00 gamma=90.00
Space group I-42m (No. 121)
Asymmetric unit:
Pm1 0.125 0.125 0.257 [8 per cell]
Pm2 0.238 0.238 0.519 [8 per cell]
Pr1 0.000 0.000 0.000 [2 per cell]
Pr2 0.000 0.500 0.250 [4 per cell]
Sc1 0.000 0.000 0.500 [2 per cell]

=====

[6]
A plane-wave DFT calculation with PBE was carried out for Dy2ScTl3 after structural relaxation.

Values from the calculation:
- formation energy (eV/f.u.) = -1.9

Unit cell a=3.691 b=3.691 c=11.440 alpha=90.00 beta=90.00 gamma=90.00
Space group P4/mmm (No. 123)
Asymmetric unit:
Dy1 0.000 0.000 0.174 [2 per cell]
Sc1 0.000 0.000 0.500 [1 per cell]
Tl1 0.500 0.500 0.000 [1 per cell]
Tl2 0.500 0.500 0.347 [2 per cell]

=====

[7]
A plane-wave DFT calculation with PBE was carried out for La2Zn6In after structural relaxation.

Values from the calculation:
- formation energy (eV/f.u.) = -3.0

Unit cell a=6.0307 b=6.0307 c=5.9615 alpha=90.00 beta=90.00 gamma=120.00
Space group P-3m1 (No. 164)
Asymmetric unit:
La1 0.3333 0.6667 0.3381 [2 per cell]
Zn1 0.1823 0.3645 0.8509 [6 per cell]
In1 0.0000 0.0000 0.5000 [1 per cell]

=====

[8]
A plane-wave DFT calculation with PBE was carried out for BaTaCuSi2 after structural relaxation.

Values from the calculation:
- raw formation energy (eV/atom) = 0.7749

Unit cell a=4.698 b=4.698 c=4.970 alpha=90.00 beta=90.00 gamma=90.00
Space group P4/mmm (No. 123)
Asymmetric unit:
Ba1 0.000 0.000 0.000 [1 per cell]
Ta1 0.500 0.500 0.000 [1 per cell]
Cu1 0.500 0.500 0.500 [1 per cell]
Si1 0.000 0.500 0.500 [2 per cell]

=====

| no. | DOS(E_F) (states/eV per atom) |
| --- | --- |
| 1 | 0.93 |
| 2 | 1.47 |
| 3 | 0.32 |
| 4 | 0.53 |
| 5 | 1.55 |
| 6 | 0.75 |
| 7 | 0.69 |
| 8 | 0.77 |